A:
VASP calculation (GGA-PBE) on crystalline WICl3 at its relaxed geometry.

CIF file:
```
data_WICl3
_chemical_formula_sum 'W1 I1 Cl3'
_cell_length_a 4.855
_cell_length_b 4.855
_cell_length_c 4.855
_cell_angle_alpha 90.00
_cell_angle_beta 90.00
_cell_angle_gamma 90.00
_space_group_name_H-M_alt 'P m -3 m'
_space_group_IT_number 221
_space_group_name_Hall '-P 4 2 3'
loop_
_atom_site_label
_atom_site_type_symbol
_atom_site_fract_x
_atom_site_fract_y
_atom_site_fract_z
W1 W 0.000 0.000 0.000
I1 I 0.500 0.500 0.500
Cl1 Cl 0.000 0.000 0.500
```



B:
VASP calculation (GGA-PBE) on crystalline WICl3 at its relaxed geometry.

CIF file:
```
data_WICl3
_chemical_formula_sum 'W2 I2 Cl6'
_cell_length_a 6.640
_cell_length_b 6.985
_cell_length_c 7.047
_cell_angle_alpha 98.32
_cell_angle_beta 92.74
_cell_angle_gamma 94.38
_space_group_name_H-M_alt 'P -1'
_space_group_IT_number 2
loop_
_space_group_symop_operation_xyz
'x,y,z'
'-x,-y,-z'
loop_
_atom_site_label
_atom_site_type_symbol
_atom_site_fract_x
_atom_site_fract_y
_atom_site_fract_z
W1 W 0.205 0.003 0.002
I1 I 0.276 0.277 0.309
Cl1 Cl 0.002 0.218 0.854
Cl2 Cl 0.215 0.819 0.704
Cl3 Cl 0.479 0.818 0.119
```



C:
VASP calculation (GGA-PBE) on crystalline WICl3 at its relaxed geometry.

CIF file:
```
data_WICl3
_chemical_formula_sum 'W1 I1 Cl3'
_cell_length_a 5.537
_cell_length_b 5.537
_cell_length_c 5.537
_cell_angle_alpha 90.00
_cell_angle_beta 90.00
_cell_angle_gamma 90.00
_space_group_name_H-M_alt 'P m -3 m'
_space_group_IT_number 221
_space_group_name_Hall '-P 4 2 3'
loop_
_atom_site_label
_atom_site_type_symbol
_atom_site_fract_x
_atom_site_fract_y
_atom_site_fract_z
W1 W 0.000 0.000 0.000
I1 I 0.500 0.500 0.500
Cl1 Cl 0.000 0.500 0.500
```



D:
VASP calculation (GGA-PBE) on crystalline WICl3 at its relaxed geometry.

CIF file:
```
data_WICl3
_chemical_formula_sum 'W4 I4 Cl12'
_cell_length_a 6.962
_cell_length_b 8.735
_cell_length_c 10.606
_cell_angle_alpha 90.00
_cell_angle_beta 90.00
_cell_angle_gamma 90.00
_space_group_name_H-M_alt 'I m m m'
_space_group_IT_number 71
_space_group_name_Hall '-I 2 2'
loop_
_atom_site_label
_atom_site_type_symbol
_atom_site_fract_x
_atom_site_fract_y
_atom_site_fract_z
W1 W 0.191 0.000 0.000
I1 I 0.000 0.500 0.320
Cl1 Cl 0.000 0.000 0.187
Cl2 Cl 0.225 0.263 0.000
```



Most stable: D. Least stable: C.



A:
VASP calculation (GGA-PBE) on crystalline Y2ICl at its relaxed geometry.

CIF file:
```
data_Y2ICl
_chemical_formula_sum 'Y8 I4 Cl4'
_cell_length_a 5.068
_cell_length_b 5.068
_cell_length_c 19.579
_cell_angle_alpha 90.00
_cell_angle_beta 90.00
_cell_angle_gamma 90.00
_space_group_name_H-M_alt 'I -4 2 d'
_space_group_IT_number 122
_space_group_name_Hall 'I -4 2bw'
loop_
_atom_site_label
_atom_site_type_symbol
_atom_site_fract_x
_atom_site_fract_y
_atom_site_fract_z
Y1 Y 0.234 0.250 0.125
I1 I 0.000 0.000 0.500
Cl1 Cl 0.000 0.000 0.000
```



B:
VASP calculation (GGA-PBE) on crystalline Y2ICl at its relaxed geometry.

CIF file:
```
data_Y2ICl
_chemical_formula_sum 'Y8 I4 Cl4'
_cell_length_a 7.342
_cell_length_b 7.342
_cell_length_c 7.342
_cell_angle_alpha 90.00
_cell_angle_beta 90.00
_cell_angle_gamma 90.00
_space_group_name_H-M_alt 'F m -3 m'
_space_group_IT_number 225
_space_group_name_Hall '-F 4 2 3'
loop_
_atom_site_label
_atom_site_type_symbol
_atom_site_fract_x
_atom_site_fract_y
_atom_site_fract_z
Y1 Y 0.250 0.250 0.250
I1 I 0.000 0.000 0.000
Cl1 Cl 0.000 0.000 0.500
```



Most stable: A. Least stable: B.